Below is a relaxed structure of NbTl3Fe2O9, with properties calculated at the PBE with a Hubbard U level.

Cell and atoms, written as POSCAR:
```
NbTl3Fe2O9
1.0
5.6477 0.0000 0.0000
-2.8239 4.8911 0.0000
0.0000 0.0000 7.0162
O Tl Fe Nb
9 3 2 1
direct
0.6697 0.8348 0.3309 O
0.3303 0.1652 0.6691 O
0.1652 0.8348 0.3309 O
0.8348 0.6697 0.6691 O
0.1652 0.3303 0.3309 O
0.5000 0.0000 0.0000 O
0.0000 0.5000 0.0000 O
0.5000 0.5000 0.0000 O
0.8348 0.1652 0.6691 O
0.3333 0.6667 0.7221 Tl
0.6667 0.3333 0.2779 Tl
0.0000 0.0000 0.0000 Tl
0.6667 0.3333 0.8227 Fe
0.3333 0.6667 0.1773 Fe
0.0000 0.0000 0.5000 Nb
```

Output
SG: P-3m1
Calculated total energy: -6.03 eV/atom
N(E_F): 0.3408 states/eV/atom